A plane-wave DFT calculation with PBE-GGA was carried out for a relaxed structure of Sc2Tc3.

CIF file:
```
data_Sc2Tc3
_symmetry_space_group_name_H-M 'P -3 m 1'
_symmetry_Int_Tables_number 164
_symmetry_space_group_name_Hall '-P 3 2"'
_cell_length_a 2.9883
_cell_length_b 2.9883
_cell_length_c 10.9230
_cell_angle_alpha 90.00
_cell_angle_beta 90.00
_cell_angle_gamma 120.00
loop_
_atom_site_label
_atom_site_fract_x
_atom_site_fract_y
_atom_site_fract_z
Sc1 0.3333 0.6667 0.3033
Tc1 0.0000 0.0000 0.5000
Tc2 0.3333 0.6667 0.9110
```

## Properties
E_form	129	meV/atom
total DFT energy (no corrections)	-8.62	eV/atom